[1]
# HfSiOs meta-GGA SCAN PBEsol geometry
# VASP energy: -442.02 eV per cell
# formation energy (no corrections): -0.924 eV per atom
# magnetic moment: 0.0000 μB/atom
data_HfSiOs
_chemical_formula_sum 'Hf3 Si3 Os3'
_symmetry_space_group_name_H-M 'P -6 2 m'
_symmetry_Int_Tables_number 189
_symmetry_space_group_name_Hall 'P -6 -2'
_cell_length_a 6.5750
_cell_length_b 6.5750
_cell_length_c 3.6924
_cell_angle_alpha 90.00
_cell_angle_beta 90.00
_cell_angle_gamma 120.00
loop_
_atom_site_label
_atom_site_type_symbol
_atom_site_fract_x
_atom_site_fract_y
_atom_site_fract_z
Hf1 Hf 0.0000 0.5834 0.0000
Si1 Si 0.0000 0.0000 0.0000
Si2 Si 0.3333 0.6667 0.5000
Os1 Os 0.0000 0.2470 0.5000


[2]
# BaMgTi2H meta-GGA SCAN PBEsol geometry
# VASP energy: -74.64 eV per cell
# magnetic moment: 1.3322 μB/atom
data_BaMgTi2H
_chemical_formula_sum 'Ba1 Mg1 Ti2 H1'
_symmetry_space_group_name_H-M 'P 4/m m m'
_symmetry_Int_Tables_number 123
_symmetry_space_group_name_Hall '-P 4 2'
_cell_length_a 5.6828
_cell_length_b 5.6828
_cell_length_c 3.7414
_cell_angle_alpha 90.00
_cell_angle_beta 90.00
_cell_angle_gamma 90.00
loop_
_atom_site_label
_atom_site_type_symbol
_atom_site_fract_x
_atom_site_fract_y
_atom_site_fract_z
Ba1 Ba 0.0000 0.0000 0.0000
Mg1 Mg 0.5000 0.5000 0.5000
Ti1 Ti 0.0000 0.5000 0.5000
H1 H 0.5000 0.5000 0.0000


[3]
# LiN2OF meta-GGA SCAN PBEsol geometry
# VASP energy: -22.39 eV per cell
# formation energy (no corrections): 1.670 eV per atom
# magnetic moment: 1.0101 μB/atom
data_LiN2OF
_chemical_formula_sum 'Li1 N2 O1 F1'
_symmetry_space_group_name_H-M 'P 4/m m m'
_symmetry_Int_Tables_number 123
_symmetry_space_group_name_Hall '-P 4 2'
_cell_length_a 3.6545
_cell_length_b 3.6545
_cell_length_c 4.5243
_cell_angle_alpha 90.00
_cell_angle_beta 90.00
_cell_angle_gamma 90.00
loop_
_atom_site_label
_atom_site_type_symbol
_atom_site_fract_x
_atom_site_fract_y
_atom_site_fract_z
Li1 Li 0.0000 0.0000 0.0000
N1 N 0.0000 0.5000 0.5000
O1 O 0.5000 0.5000 0.0000
F1 F 0.5000 0.5000 0.5000


[4]
# LiSF3 meta-GGA SCAN PBEsol geometry
# VASP energy: -27.85 eV per cell
# formation energy (no corrections): -1.043 eV per atom
# magnetic moment: 0.0002 μB/atom
# polymorph energy (0 for the lowest one): 34 meV/atom
data_LiSF3
_chemical_formula_sum 'Li1 S1 F3'
_symmetry_space_group_name_H-M 'P m -3 m'
_symmetry_Int_Tables_number 221
_symmetry_space_group_name_Hall '-P 4 2 3'
_cell_length_a 3.6353
_cell_length_b 3.6353
_cell_length_c 3.6353
_cell_angle_alpha 90.00
_cell_angle_beta 90.00
_cell_angle_gamma 90.00
loop_
_atom_site_label
_atom_site_type_symbol
_atom_site_fract_x
_atom_site_fract_y
_atom_site_fract_z
Li1 Li 0.0000 0.0000 0.0000
S1 S 0.5000 0.5000 0.5000
F1 F 0.0000 0.0000 0.5000


[5]
# NaMnNi2 meta-GGA SCAN PBEsol geometry
# VASP energy: -214.14 eV per cell
# magnetic moment: 1.2230 μB/atom
# formation enthalpy at 0 K: 0.3203 eV/atom
data_NaMnNi2
_chemical_formula_sum 'Na4 Mn4 Ni8'
_symmetry_space_group_name_H-M 'F m -3 m'
_symmetry_Int_Tables_number 225
_symmetry_space_group_name_Hall '-F 4 2 3'
_cell_length_a 5.9088
_cell_length_b 5.9088
_cell_length_c 5.9088
_cell_angle_alpha 90.00
_cell_angle_beta 90.00
_cell_angle_gamma 90.00
loop_
_atom_site_label
_atom_site_type_symbol
_atom_site_fract_x
_atom_site_fract_y
_atom_site_fract_z
Na1 Na 0.0000 0.0000 0.0000
Mn1 Mn 0.0000 0.0000 0.5000
Ni1 Ni 0.2500 0.2500 0.2500


[6]
# KCa2Ta meta-GGA SCAN PBEsol geometry
# VASP energy: -90.18 eV per cell
# magnetic moment: 0.7184 μB/atom
# polymorph energy (0 for the lowest one): 245 meV/atom
# formation enthalpy at 0 K: 1.0148 eV/atom
data_KCa2Ta
_chemical_formula_sum 'K1 Ca2 Ta1'
_symmetry_space_group_name_H-M 'P m m 2'
_symmetry_Int_Tables_number 25
_cell_length_a 3.2682
_cell_length_b 5.1175
_cell_length_c 8.4121
_cell_angle_alpha 90.00
_cell_angle_beta 90.00
_cell_angle_gamma 90.00
loop_
_symmetry_equiv_pos_as_xyz
'x,y,z'
'-x,-y,z'
'-x,y,z'
'x,-y,z'
loop_
_atom_site_label
_atom_site_type_symbol
_atom_site_fract_x
_atom_site_fract_y
_atom_site_fract_z
K1 K 0.0000 0.0000 0.0000
Ca1 Ca 0.0000 0.0000 0.4212
Ca2 Ca 0.5000 0.5000 0.6597
Ta1 Ta 0.5000 0.5000 0.2883


[7]
# Al7Ag meta-GGA SCAN PBEsol geometry
# VASP energy: -171.35 eV per cell
# magnetic moment: 0.0032 μB/atom
# polymorph energy (0 for the lowest one): 24 meV/atom
# formation enthalpy at 0 K: -0.0056 eV/atom
data_Al7Ag
_chemical_formula_sum 'Al14 Ag2'
_symmetry_space_group_name_H-M 'C m m m'
_symmetry_Int_Tables_number 65
_symmetry_space_group_name_Hall '-C 2 2'
_cell_length_a 5.6421
_cell_length_b 8.1758
_cell_length_c 5.6420
_cell_angle_alpha 90.00
_cell_angle_beta 90.00
_cell_angle_gamma 90.00
loop_
_atom_site_label
_atom_site_type_symbol
_atom_site_fract_x
_atom_site_fract_y
_atom_site_fract_z
Al1 Al 0.0000 0.0000 0.0000
Al2 Al 0.0000 0.0000 0.5000
Al3 Al 0.0000 0.5000 0.0000
Al4 Al 0.2500 0.2500 0.2485
Ag1 Ag 0.0000 0.5000 0.5000


[8]
# Tm3Al5O12 meta-GGA SCAN PBEsol geometry
# VASP energy: -2738.39 eV per cell
# formation energy (no corrections): -3.663 eV per atom
# magnetic moment: 0.0000 μB/atom
data_Tm3Al5O12
_chemical_formula_sum 'Tm24 Al40 O96'
_symmetry_space_group_name_H-M 'I a -3 d'
_symmetry_Int_Tables_number 230
_symmetry_space_group_name_Hall '-I 4bd 2c 3'
_cell_length_a 11.8911
_cell_length_b 11.8911
_cell_length_c 11.8911
_cell_angle_alpha 90.00
_cell_angle_beta 90.00
_cell_angle_gamma 90.00
loop_
_atom_site_label
_atom_site_type_symbol
_atom_site_fract_x
_atom_site_fract_y
_atom_site_fract_z
Tm1 Tm 0.0000 0.2500 0.1250
Al1 Al 0.0000 0.0000 0.0000
Al2 Al 0.0000 0.2500 0.3750
O1 O 0.0293 0.0531 0.6495